[1]
The following is a DFT calculation (PBE-GGA) of a geometry-optimized KInRe structure.

Unit cell a=8.355 b=8.355 c=8.355 alpha=160.30 beta=160.30 gamma=28.00
Sites, in units of the cell vectors:
1 Re 0.654 0.654 0.000
2 K 0.330 0.330 0.000
3 In 0.017 0.017 0.000

## Properties
The total energy comes out at -4.52 eV per atom. As for the formation energy from the elements: 0.913 eV per atom.

[2]
The following is a DFT calculation (PBE-GGA) of a geometry-optimized CeZn12Pt6 structure.

Unit cell a=7.178 b=7.178 c=7.178 alpha=104.60 beta=104.60 gamma=104.60
Each line ends with the local moment (μB).
Sites, in units of the cell vectors:
1 Ce 0.000 0.000 0.000  0.93
2 Zn 0.890 0.500 0.110  0.00
3 Zn 0.500 0.890 0.110  0.00
4 Zn 0.605 0.863 0.605  0.00
5 Zn 0.395 0.395 0.137  0.00
6 Zn 0.110 0.500 0.890  0.00
7 Zn 0.605 0.605 0.863  0.00
8 Zn 0.137 0.395 0.395  0.00
9 Zn 0.110 0.890 0.500  0.00
10 Zn 0.395 0.137 0.395  0.00
11 Zn 0.863 0.605 0.605  0.00
12 Zn 0.500 0.110 0.890  0.00
13 Zn 0.890 0.110 0.500  0.00
14 Pt 0.277 0.706 0.277  -0.01
15 Pt 0.706 0.277 0.277  -0.01
16 Pt 0.277 0.277 0.706  -0.01
17 Pt 0.723 0.294 0.723  -0.01
18 Pt 0.723 0.723 0.294  -0.01
19 Pt 0.294 0.723 0.723  -0.01

## Properties
The total energy comes out at -3.42 eV per atom. As for the formation energy from the elements: -0.391 eV per atom.

[3]
The following is a DFT calculation (PBE-GGA) of a geometry-optimized ErSnPtAu structure.

Unit cell a=4.879 b=4.879 c=4.879 alpha=60.00 beta=60.00 gamma=60.00
Sites, in units of the cell vectors:
1 Er 0.000 0.000 0.000
2 Au 0.750 0.750 0.750
3 Sn 0.500 0.500 0.500
4 Pt 0.250 0.250 0.250

## Properties
The total energy comes out at -5.26 eV per atom. As for the formation energy from the elements: -0.793 eV per atom.

[4]
The following is a DFT calculation (PBE-GGA) of a geometry-optimized CaTbTl structure.

Unit cell a=5.272 b=5.272 c=5.272 alpha=60.00 beta=60.00 gamma=60.00
Sites, in units of the cell vectors:
1 Tb 0.000 0.000 0.000
2 Tl 0.250 0.250 0.250
3 Ca 0.500 0.500 0.500

## Properties
The total energy comes out at -3.15 eV per atom. As for the formation energy from the elements: -0.146 eV per atom.

[5]
The following is a DFT calculation (PBE-GGA) of a geometry-optimized ZrTaNi2 structure.

Unit cell a=3.215 b=3.215 c=6.049 alpha=90.00 beta=90.00 gamma=90.01
Sites, in units of the cell vectors:
1 Ni 0.000 0.000 0.023
2 Ni 0.500 0.500 0.245
3 Zr 0.500 0.500 0.780
4 Ta 0.000 0.000 0.452

## Properties
The total energy comes out at -8.23 eV per atom. As for the formation energy from the elements: -0.240 eV per atom.

[6]
The following is a DFT calculation (PBE-GGA) of a geometry-optimized LiGaAu2 structure.

Unit cell a=4.045 b=4.045 c=9.424 alpha=77.61 beta=77.61 gamma=90.00
Sites, in units of the cell vectors:
1 Ga 0.000 0.000 0.000
2 Ga 0.750 0.250 0.500
3 Au 0.875 0.873 0.750
4 Au 0.375 0.377 0.750
5 Au 0.127 0.625 0.250
6 Au 0.623 0.125 0.250
7 Li 0.250 0.750 0.500
8 Li 0.500 0.500 0.000

## Properties
The total energy comes out at -3.07 eV per atom. As for the formation energy from the elements: -0.193 eV per atom.

[7]
The following is a DFT calculation (PBE-GGA) of a geometry-optimized AcMgHgPb structure.

Unit cell a=5.519 b=5.519 c=5.519 alpha=60.00 beta=60.00 gamma=60.00
Sites, in units of the cell vectors:
1 Mg 0.000 0.000 0.000
2 Hg 0.250 0.250 0.250
3 Pb 0.750 0.750 0.750
4 Ac 0.500 0.500 0.500

## Properties
The total energy comes out at -2.79 eV per atom. As for the formation energy from the elements: -0.357 eV per atom.

[8]
The following is a DFT calculation (PBE-GGA) of a geometry-optimized La4Ge2SeBr structure.

Unit cell a=4.417 b=7.612 c=7.651 alpha=70.47 beta=90.00 gamma=90.00
Sites, in units of the cell vectors:
1 Se 0.000 0.500 0.500
2 La 0.500 0.235 0.749
3 La 0.500 0.765 0.251
4 La 0.000 0.771 0.736
5 La 0.000 0.229 0.264
6 Ge 0.500 0.000 0.500
7 Ge 0.000 0.000 0.000
8 Br 0.500 0.500 0.000

## Properties
The total energy comes out at -5.62 eV per atom. For the formation energy without anion corrections, the calculation gives -1358 meV per atom.

[9]
The following is a DFT calculation (PBE-GGA) of a geometry-optimized LiLaU2S4 structure.

Unit cell a=3.887 b=6.710 c=7.071 alpha=108.56 beta=90.00 gamma=90.00
Each line ends with the local moment (μB).
Sites, in units of the cell vectors:
1 S 0.500 0.265 0.258  -0.05
2 S 0.500 0.735 0.742  -0.05
3 S 0.000 0.740 0.252  -0.05
4 S 0.000 0.260 0.748  -0.05
5 U 0.000 0.500 0.500  2.34
6 U 0.500 0.000 0.500  2.60
7 Li 0.500 0.500 0.000  0.00
8 La 0.000 0.000 0.000  0.05

## Properties
The total energy comes out at -7.27 eV per atom. For the formation energy without anion corrections, the calculation gives -1528 meV per atom.

Q: Number 1 is which compound?
A: KInRe